Record 1
AcYAgRh: relaxed, GGA-PBE.

Cell: 5.2226 5.2226 5.2226 Å, 60.00 60.00 60.00°
Last column: nearest neighbours and their distance in Å.
Sites, in units of the cell vectors:
Ac  0.0000  0.0000  0.0000  4 Rh 3.20, 4 Ag 3.20
Y  0.5000  0.5000  0.5000  4 Rh 3.20, 4 Ag 3.20
Ag  0.2500  0.2500  0.2500  4 Ac 3.20, 4 Y 3.20
Rh  0.7500  0.7500  0.7500  4 Ac 3.20, 4 Y 3.20

Output
**Crystal system**: cubic
**Magnetic moment**: 0.000 μB/f.u.
**DFT total energy**: -5.604 eV per atom
**Calculated volume**: 100.7 Å³/f.u.


Record 2
Ac2Zn4AgRh3: relaxed, GGA-PBE.

Cell: 4.2665 4.2665 11.1213 Å, 90.00 90.00 90.00°
Last column: nearest neighbours and their distance in Å.
Sites, in units of the cell vectors:
Ac  0.0000  0.5000  0.2413  6 Rh 3.24-3.58, 8 Zn 3.32-3.43, 2 Ag 3.58
Ac  0.5000  0.0000  0.7587  6 Rh 3.24-3.58, 8 Zn 3.32-3.43, 2 Ag 3.58
Zn  0.0000  0.0000  0.0000  4 Rh 2.61
Zn  0.0000  0.5000  0.6342  3 Rh 2.57-2.60, 2 Ag 2.60
Zn  0.5000  0.0000  0.3658  3 Rh 2.57-2.60, 2 Ag 2.60
Zn  0.5000  0.5000  0.0000  4 Rh 2.61
Ag  0.0000  0.0000  0.5000  4 Zn 2.60
Rh  0.0000  0.5000  0.8649  5 Zn 2.57-2.61
Rh  0.5000  0.0000  0.1351  5 Zn 2.57-2.61
Rh  0.5000  0.5000  0.5000  4 Zn 2.60

Output
**Crystal system**: tetragonal
**Magnetic moment**: 0.000 μB/f.u.
**DFT total energy**: -4.286 eV per atom
**Calculated volume**: 202.4 Å³/f.u.


Record 3
Ac2ZnAgRh: relaxed, GGA-PBE.

Cell: 7.9115 4.4400 8.1813 Å, 90.00 109.51 90.00°
Last column: nearest neighbours and their distance in Å.
Sites, in units of the cell vectors:
Ac  0.1366  0.2500  0.3578  2 Rh 3.03, 2 Ag 3.34, 2 Zn 3.38
Ac  0.2766  0.2500  0.9534  3 Rh 2.98-3.05
Ac  0.7234  0.7500  0.0466  3 Rh 2.98-3.05
Ac  0.8634  0.7500  0.6422  2 Rh 3.03, 2 Ag 3.34, 2 Zn 3.38
Zn  0.4455  0.7500  0.3251  1 Rh 2.58, 2 Ag 2.75
Zn  0.5545  0.2500  0.6749  1 Rh 2.58, 2 Ag 2.75
Ag  0.3451  0.7500  0.6630  2 Zn 2.75
Ag  0.6549  0.2500  0.3370  2 Zn 2.75
Rh  0.1246  0.7500  0.1029  1 Zn 2.58
Rh  0.8754  0.2500  0.8971  1 Zn 2.58

Output
**Crystal system**: monoclinic
**Magnetic moment**: 0.000 μB/f.u.
**DFT total energy**: -4.393 eV per atom
**Calculated volume**: 135.4 Å³/f.u.


Record 4
Ac3Ag2Ru: relaxed, GGA-PBE.

Cell: 8.1518 8.1518 8.5391 Å, 105.21 105.21 45.58°
Last column: nearest neighbours and their distance in Å.
Sites, in units of the cell vectors:
Ac  0.9998  0.0002  0.2500  2 Ru 3.16, 4 Ag 3.37
Ac  0.0002  0.9998  0.7500  2 Ru 3.16, 4 Ag 3.37
Ac  0.3612  0.3629  0.9314  2 Ru 2.91-2.92, 2 Ag 3.22
Ac  0.3629  0.3612  0.4314  2 Ru 2.91-2.92, 2 Ag 3.22
Ac  0.6371  0.6388  0.5686  2 Ru 2.91-2.92, 2 Ag 3.22
Ac  0.6388  0.6371  0.0686  2 Ru 2.91-2.92, 2 Ag 3.22
Ag  0.1798  0.1818  0.5905  6 Ac 3.22-3.37
Ag  0.1818  0.1798  0.0905  6 Ac 3.22-3.37
Ag  0.8182  0.8202  0.9095  6 Ac 3.22-3.37
Ag  0.8202  0.8182  0.4095  6 Ac 3.22-3.37
Ru  0.4994  0.5006  0.2500  6 Ac 2.91-3.16
Ru  0.5006  0.4994  0.7500  6 Ac 2.91-3.16

Output
**Crystal system**: monoclinic
**Magnetic moment**: 0.000 μB/f.u.
**ΔE to the lowest computed polymorph**: 55 meV per atom
**Calculated volume**: 194.3 Å³/f.u.


Record 5
Ac7Ag2Ru2: relaxed, GGA-PBE.

Cell: 7.4520 7.4520 7.5453 Å, 90.12 90.12 68.33°
Last column: nearest neighbours and their distance in Å.
Sites, in units of the cell vectors:
Ac  0.0000  0.0000  0.0000  2 Ru 3.75, 4 Ag 4.03, 8 Ac 4.19
Ac  0.0007  0.5003  0.2543  2 Ru 2.92
Ac  0.4993  0.4993  0.7525  2 Ru 3.05, 2 Ag 3.37
Ac  0.5003  0.0007  0.2543  2 Ru 2.92
Ac  0.4997  0.9993  0.7457  2 Ru 2.92
Ac  0.5007  0.5007  0.2475  2 Ru 3.05, 2 Ag 3.37
Ac  0.9993  0.4997  0.7457  2 Ru 2.92
Ag  0.1679  0.8321  0.5000  1 Ag 2.81
Ag  0.8321  0.1679  0.5000  1 Ag 2.81
Ru  0.3044  0.3044  0.0000  6 Ac 2.92-3.05
Ru  0.6956  0.6956  0.0000  6 Ac 2.92-3.05

Output
**Crystal system**: monoclinic
**Magnetic moment**: 0.000 μB/f.u.
**ΔE to the lowest computed polymorph**: 59 meV per atom
**Calculated volume**: 389.4 Å³/f.u.


Record 6
Ac7AgRu3: relaxed, GGA-PBE.

Cell: 7.3385 7.3385 7.3304 Å, 101.32 101.32 96.99°
Last column: nearest neighbours and their distance in Å.
Sites, in units of the cell vectors:
Ac  0.0000  0.0000  0.0000  2 Ru 2.93
Ac  0.1318  0.5402  0.2699  2 Ru 2.90-2.97
Ac  0.3501  0.3501  0.7782  3 Ru 2.84-3.15
Ac  0.4598  0.8682  0.7301  2 Ru 2.90-2.97
Ac  0.5402  0.1318  0.2699  2 Ru 2.90-2.97
Ac  0.6499  0.6499  0.2218  3 Ru 2.84-3.15
Ac  0.8682  0.4598  0.7301  2 Ru 2.90-2.97
Ag  0.0000  0.0000  0.5000  8 Ac 3.41-3.79
Ru  0.2668  0.7332  0.0000  5 Ac 2.90-3.15
Ru  0.5000  0.5000  0.5000  6 Ac 2.84-2.97
Ru  0.7332  0.2668  0.0000  5 Ac 2.90-3.15

Output
**Crystal system**: monoclinic
**Magnetic moment**: 0.000 μB/f.u.
**DFT total energy**: -5.530 eV per atom
**Calculated volume**: 374.3 Å³/f.u.